A plane-wave DFT calculation with PBE-GGA was carried out for an optimized crystal structure of K2GaSbO6.

Calculated values
Its density of states at the Fermi level is 7.30 states/eV per cell. Its space-group type is P-3m1 (164). As for the uncorrected formation energy: -1245 meV/atom. The total DFT energy (no corrections) comes out at -51.54 eV per cell.

```
10
Lattice="5.4106 0.0000 0.0000 0.0000 6.0544 0.0000 0.0000 -3.0272 5.2433" Properties=species:S:1:pos:R:3 pbc="T T T"
K 0.9481 0.0000 3.4955
K 4.4624 3.0272 1.7477
Ga 0.0000 0.0000 0.0000
Sb 2.7053 0.0000 0.0000
O 4.0577 0.0000 1.4982
O 4.0577 -1.7297 4.4942
O 4.0577 1.7297 4.4942
O 1.3529 4.7569 0.7491
O 1.3529 1.2975 0.7491
O 1.3529 3.0272 3.7451
```